The following is a DFT calculation (GGA-PBE) of AgPt2W after structural relaxation.

Excess energy over the best structure of this formula in the dataset in meV/atom: 432
V in Å³/cell: 65.5
Calculated density in g cm⁻³: 17.289

Cell: 3.4505 3.4505 5.5006 Å, 90.00 90.00 90.00°
Sites, in units of the cell vectors:
1 Ag 0.0000 0.0000 0.0000
2 Pt 0.0000 0.0000 0.5072
3 Pt 0.5000 0.5000 0.2372
4 W 0.5000 0.5000 0.7199